## w
## RbTe2H2 (PBE-GGA)

Data for an optimized crystal structure of RbTe2H2.

## Properties
Its symmetry is No. 2.

abc: 6.751 7.797 7.803
angles: 92.52 64.41 64.39
Sites, in units of the cell vectors:
1 H 0.117 0.579 0.577
2 H 0.883 0.421 0.423
3 H 0.274 0.920 0.923
4 H 0.726 0.080 0.077
5 Rb 0.001 0.250 0.750
6 Rb 0.999 0.750 0.250
7 Te 0.550 0.280 0.280
8 Te 0.450 0.720 0.720
9 Te 0.891 0.779 0.779
10 Te 0.109 0.221 0.221

=====

## x
## RbTe2H2 (PBE-GGA)

Data for an optimized crystal structure of RbTe2H2.

## Properties
Its symmetry is No. 2.

abc: 5.649 9.473 3.619
angles: 101.19 129.66 94.44
Sites, in units of the cell vectors:
1 Te 0.340 0.713 0.696
2 Te 0.660 0.287 0.304
3 Rb 0.000 0.000 0.000
4 H 0.937 0.661 0.270
5 H 0.063 0.339 0.730

=====

## y
## RbTe2H2 (PBE-GGA)

Data for an optimized crystal structure of RbTe2H2.

## Properties
Its symmetry is No. 139.

abc: 4.739 4.739 6.078
angles: 67.06 67.06 90.00
Sites, in units of the cell vectors:
1 Rb 0.000 0.000 0.000
2 H 0.750 0.250 0.500
3 H 0.250 0.750 0.500
4 Te 0.361 0.361 0.278
5 Te 0.639 0.639 0.722

=====

## z
## RbTe2H2 (PBE-GGA)

Data for an optimized crystal structure of RbTe2H2.

## Properties
Its symmetry is No. 127.

abc: 9.426 9.426 3.662
angles: 90.00 90.00 90.00
Sites, in units of the cell vectors:
1 H 0.306 0.806 0.500
2 H 0.694 0.194 0.500
3 H 0.806 0.694 0.500
4 H 0.194 0.306 0.500
5 Te 0.641 0.141 0.000
6 Te 0.859 0.641 0.000
7 Te 0.359 0.859 0.000
8 Te 0.141 0.359 0.000
9 Rb 0.000 0.000 0.000
10 Rb 0.500 0.500 0.000

=====

It comes down to w, which is 10.4 kJ/mol of atoms more stable than the next structure.

=====

## w
## RbTi3H (PBE-GGA)

Data for an optimized crystal structure of RbTi3H.

## Properties
Its symmetry is No. 221.

abc: 4.406 4.406 4.406
angles: 90.00 90.00 90.00
Sites, in units of the cell vectors:
1 Ti 0.000 0.000 0.500
2 Ti 0.500 0.000 0.000
3 Ti 0.000 0.500 0.000
4 Rb 0.500 0.500 0.500
5 H 0.000 0.000 0.000

=====

## x
## RbTi3H (PBE-GGA)

Data for an optimized crystal structure of RbTi3H.

## Properties
Its symmetry is No. 221.

abc: 4.760 4.760 4.760
angles: 90.00 90.00 90.00
Last column: magnetic moment on the atom in μB.
Sites, in units of the cell vectors:
1 Ti 0.000 0.500 0.000  0.79
2 Ti 0.500 0.000 0.000  0.92
3 Ti 0.000 0.000 0.500  0.75
4 H 0.500 0.500 0.500  -0.02
5 Rb 0.000 0.000 0.000  0.12

=====

It comes down to w, which is 175.6 kJ/mol of atoms more stable than the next structure.

=====

## w
## RbTiH3 (PBE-GGA)

Data for an optimized crystal structure of RbTiH3.

## Properties
Its symmetry is No. 221.

abc: 4.630 4.630 4.630
angles: 90.00 90.00 90.00
Last column: magnetic moment on the atom in μB.
Sites, in units of the cell vectors:
1 Ti 0.500 0.500 0.500  -1.98
2 H 0.500 0.000 0.000  0.09
3 H 0.000 0.500 0.000  0.07
4 H 0.000 0.000 0.500  0.07
5 Rb 0.000 0.000 0.000  0.03

=====

## x
## RbTiH3 (PBE-GGA)

Data for an optimized crystal structure of RbTiH3.

## Properties
Its symmetry is No. 221.

abc: 4.072 4.072 4.072
angles: 90.00 90.00 90.00
Last column: magnetic moment on the atom in μB.
Sites, in units of the cell vectors:
1 H 0.000 0.500 0.000  -0.01
2 H 0.500 0.000 0.000  -0.01
3 H 0.000 0.000 0.500  -0.02
4 Rb 0.500 0.500 0.500  0.05
5 Ti 0.000 0.000 0.000  1.53

=====

It comes down to x, which is 129.6 kJ/mol of atoms more stable than the next structure.